A geometry-optimized Ti2FeO6 structure, computed with GGA+U.

Cell: 5.169 6.830 6.830 Å, 86.14 85.87 85.87°
Each line ends with the local moment (μB).
Fractional coordinates of all 18 atoms:
1 Fe 0.750 0.898 0.102  4.33
2 Fe 0.250 0.102 0.898  4.33
3 Ti 0.650 0.378 0.156  0.02
4 Ti 0.350 0.622 0.844  0.02
5 Ti 0.850 0.844 0.622  0.02
6 Ti 0.150 0.156 0.378  0.02
7 O 0.933 0.368 0.307  0.12
8 O 0.369 0.018 0.174  0.48
9 O 0.433 0.307 0.368  0.12
10 O 0.383 0.360 0.933  0.10
11 O 0.131 0.826 0.982  0.48
12 O 0.117 0.067 0.640  0.10
13 O 0.067 0.632 0.693  0.12
14 O 0.869 0.174 0.018  0.48
15 O 0.617 0.640 0.067  0.10
16 O 0.883 0.933 0.360  0.10
17 O 0.631 0.982 0.826  0.48
18 O 0.567 0.693 0.632  0.12

Computed properties:
**Total magnetization**: 0.672 μB per atom
**Theoretical density**: 3434 kg/m³
**DFT total energy**: -7.92 eV/atom

A geometry-optimized TiFeO2 structure, computed with GGA+U.

Cell: 6.449 6.449 6.449 Å, 25.97 25.97 25.97°
Each line ends with the local moment (μB).
Fractional coordinates of all 4 atoms:
1 Fe 0.000 0.000 0.000  3.47
2 Ti 0.500 0.500 0.500  0.24
3 O 0.895 0.895 0.895  0.01
4 O 0.105 0.105 0.105  0.01

Computed properties:
**N(E_F)**: 1.83 states/eV/cell
**Total magnetization**: 0.903 μB per atom
**Theoretical density**: 4974 kg/m³
**DFT total energy**: -7.68 eV/atom
**Energy above the most stable polymorph in this dataset**: 0.00 kcal/mol of atoms

A geometry-optimized TiTl2FeO6 structure, computed with GGA+U.

Cell: 5.526 5.526 5.660 Å, 60.78 60.78 60.00°
Each line ends with the local moment (μB).
Fractional coordinates of all 10 atoms:
1 O 0.142 0.007 0.275  0.06
2 O 0.082 0.464 0.782  0.09
3 O 0.672 0.082 0.782  0.09
4 O 0.577 0.142 0.275  0.06
5 O 0.464 0.672 0.782  0.09
6 O 0.007 0.577 0.275  0.06
7 Ti 0.309 0.309 0.074  0.07
8 Tl 0.549 0.549 0.352  -0.04
9 Tl 0.047 0.047 0.860  0.01
10 Fe 0.813 0.813 0.561  4.33

Computed properties:
**N(E_F)**: 2.41 states/eV/cell
**Total magnetization**: 0.487 μB per atom
**Theoretical density**: 8172 kg/m³
**DFT total energy**: -6.27 eV/atom

A geometry-optimized UTiFeO6 structure, computed with GGA+U.

Cell: 5.356 5.356 8.847 Å, 90.00 90.00 120.00°
Each line ends with the local moment (μB).
Fractional coordinates of all 18 atoms:
1 Ti 0.333 0.667 0.250  0.00
2 Ti 0.667 0.333 0.750  0.00
3 U 0.333 0.667 0.750  -0.38
4 U 0.667 0.333 0.250  -0.38
5 O 0.018 0.351 0.132  0.04
6 O 0.018 0.667 0.368  0.04
7 O 0.649 0.982 0.368  0.04
8 O 0.351 0.018 0.632  0.04
9 O 0.333 0.982 0.132  0.04
10 O 0.982 0.649 0.868  0.04
11 O 0.667 0.018 0.868  0.04
12 O 0.351 0.333 0.868  0.04
13 O 0.667 0.649 0.632  0.04
14 O 0.982 0.333 0.632  0.04
15 O 0.649 0.667 0.132  0.04
16 O 0.333 0.351 0.368  0.04
17 Fe 0.000 0.000 0.000  4.08
18 Fe 0.000 0.000 0.500  4.08

Computed properties:
**N(E_F)**: 12.66 states/eV/cell
**Total magnetization**: 0.444 μB per atom
**Theoretical density**: 6613 kg/m³
**DFT total energy**: -8.60 eV/atom

- What is the total magnetization in the first record?
  0.672 μB per atom

- Number 1 is which compound?
  Ti2FeO6